(1)
VASP calculation (PBE-GGA) on a geometry-optimized AlZnPb structure.

a = 4.7921 Å, b = 4.7921 Å, c = 4.7921 Å
α = 60.00°, β = 60.00°, γ = 60.00°
Sites, in units of the cell vectors:
Al: 0.5000 0.5000 0.5000
Pb: 0.7500 0.7500 0.7500
Zn: 0.0000 0.0000 0.0000

Summary:
* spin magnetization: 0.00 μB/f.u.
* E: -2.510 eV/atom
* DOS(E_F): 2.71 states/eV/cell
* energy above the lowest structure with this stoichiometry: 202 meV per atom
* formation energy from the elements: 0.40 eV/atom
* symmetry: F-43m

(2)
VASP calculation (PBE-GGA) on a geometry-optimized Rb2CdGe structure.

a = 13.6017 Å, b = 13.6017 Å, c = 9.9710 Å
α = 46.99°, β = 46.99°, γ = 90.00°
Sites, in units of the cell vectors:
Ge: 0.5000 0.5000 0.0000
Ge: 0.2500 0.7500 0.5000
Rb: 0.4160 0.1250 0.2500
Rb: 0.8750 0.6660 0.7500
Rb: 0.3750 0.5840 0.7500
Rb: 0.3340 0.6250 0.2500
Cd: 0.7500 0.2500 0.5000
Cd: 0.0000 0.0000 0.0000

Summary:
* spin magnetization: 0.00 μB/f.u.
* E: -1.802 eV/atom
* DOS(E_F): 4.77 states/eV/cell
* formation energy from the elements: 0.06 eV/atom
* symmetry: I-42d